# 1
The following is a PBE calculation of a relaxed structure of Ca2PCl, from the Alexandria database.

abc: 4.1411 4.1411 7.5689
angles: 74.12 74.12 60.00
With the nearest neighbours (Å) after each atom.
Element x y z (fractional)
Ca  0.0708  0.0708  0.7876  3 P 2.82, 3 Cl 3.08
Ca  0.2670  0.2670  0.1991  3 P 2.80
Cl  0.4941  0.4941  0.5176  6 Ca 3.08-3.31
P  0.6681  0.6681  0.9958  6 Ca 2.80-2.82

E_form (uncorrected) (eV per atom): -1.60
Crystal system: trigonal

# 2
The following is a PBE calculation of a relaxed structure of Tb6Cd5Hg, from the Alexandria database.

abc: 5.2996 7.5272 8.3882
angles: 90.00 71.71 90.00
With the nearest neighbours (Å) after each atom.
Element x y z (fractional)
Cd  0.3321  0.5000  0.3356  8 Tb 3.25-3.28
Cd  0.6679  0.5000  0.6644  8 Tb 3.25-3.28
Cd  0.6706  0.0000  0.6586  8 Tb 3.22-3.30
Cd  0.3294  0.0000  0.3414  8 Tb 3.22-3.30
Cd  0.0000  0.5000  0.0000  8 Tb 3.24-3.26
Tb  0.1654  0.2500  0.6692  7 Cd 3.22-3.26, 1 Hg 3.24
Tb  0.1654  0.7500  0.6692  7 Cd 3.22-3.26, 1 Hg 3.24
Tb  0.8346  0.2500  0.3308  7 Cd 3.22-3.26, 1 Hg 3.24
Tb  0.5000  0.7524  0.0000  2 Hg 3.24, 6 Cd 3.26-3.30
Tb  0.5000  0.2476  0.0000  2 Hg 3.24, 6 Cd 3.26-3.30
Tb  0.8346  0.7500  0.3308  7 Cd 3.22-3.26, 1 Hg 3.24
Hg  0.0000  0.0000  0.0000  8 Tb 3.24

Calculated formation energy (meV per atom): -346
Crystal system: monoclinic

# 3
The following is a PBE calculation of a relaxed structure of NiRuBr2, from the Alexandria database.

abc: 7.4670 7.4670 7.4670
angles: 26.22 26.22 26.22
With the nearest neighbours (Å) after each atom.
Element x y z (fractional)
Ni  0.2500  0.2500  0.2500  6 Br 2.56
Br  0.5069  0.5069  0.5069  3 Ni 2.56, 3 Ru 2.76
Br  0.9931  0.9931  0.9931  3 Ni 2.56, 3 Ru 2.76
Ru  0.7500  0.7500  0.7500  6 Br 2.76

Polymorph energy (0 for the lowest one) (meV/atom): 451.7
E_form (uncorrected) (eV per atom): 0.62
Crystal system: trigonal

# 4
The following is a PBE calculation of a relaxed structure of Sm2MgGe3Rh4, from the Alexandria database.

abc: 4.1619 4.1619 10.6739
angles: 90.00 90.00 90.00
With the nearest neighbours (Å) after each atom.
Element x y z (fractional)
Rh  0.0000  0.0000  0.0000  4 Ge 2.49
Rh  0.0000  0.5000  0.3575  3 Ge 2.45-2.58, 2 Mg 2.58
Rh  0.5000  0.5000  0.0000  4 Ge 2.49
Rh  0.5000  0.0000  0.6425  3 Ge 2.45-2.58, 2 Mg 2.58
Sm  0.5000  0.0000  0.2429  8 Rh 3.19-3.32, 6 Ge 3.19-3.44, 2 Mg 3.44
Sm  0.0000  0.5000  0.7571  8 Rh 3.19-3.32, 6 Ge 3.19-3.44, 2 Mg 3.44
Ge  0.0000  0.0000  0.5000  4 Rh 2.58
Ge  0.0000  0.5000  0.1275  5 Rh 2.45-2.49
Ge  0.5000  0.0000  0.8725  5 Rh 2.45-2.49
Mg  0.5000  0.5000  0.5000  4 Rh 2.58

Calculated formation energy (meV per atom): -825
Crystal system: tetragonal

# 5
The following is a PBE calculation of a relaxed structure of KInW2, from the Alexandria database.

abc: 4.6626 4.6626 8.0096
angles: 87.82 87.82 34.33
With the nearest neighbours (Å) after each atom.
Element x y z (fractional)
W  0.7569  0.7569  0.7731  5 W 2.56-2.82
W  0.0076  0.0076  0.9180  5 W 2.56-2.82
In  0.4907  0.4907  0.5700  2 In 2.75, 3 W 2.93
K  0.2448  0.2448  0.2389  2 K 2.75

Calculated formation energy (meV per atom): 926
Crystal system: monoclinic

# 6
The following is a PBE calculation of a relaxed structure of CsLa3Ru, from the Alexandria database.

abc: 5.7700 5.7700 5.7700
angles: 90.00 90.00 90.00
With the nearest neighbours (Å) after each atom.
Element x y z (fractional)
Cs  0.5000  0.5000  0.5000  12 La 4.08
Ru  0.0000  0.0000  0.0000  6 La 2.89
La  0.0000  0.5000  0.0000  2 Ru 2.89
La  0.0000  0.0000  0.5000  2 Ru 2.89
La  0.5000  0.0000  0.0000  2 Ru 2.89

Polymorph energy (0 for the lowest one) (meV/atom): 0.0
Calculated formation energy (meV per atom): 71
Crystal system: cubic

# 7
The following is a PBE calculation of a relaxed structure of Sc3TlO, from the Alexandria database.

abc: 4.6565 4.6565 12.3348
angles: 79.12 79.12 90.00
With the nearest neighbours (Å) after each atom.
Element x y z (fractional)
Sc  0.1218  0.8861  0.7564  1 Sc 2.19
Sc  0.3168  0.3168  0.3664  2 O 2.48
Sc  0.1139  0.8782  0.2436  1 Sc 2.19
Sc  0.6832  0.6832  0.6336  2 O 2.48
Sc  0.1218  0.3575  0.7564  1 Sc 2.19
Sc  0.6425  0.8782  0.2436  1 Sc 2.19
Tl  0.0000  0.0000  0.0000  4 Sc 3.10
Tl  0.2500  0.7500  0.5000  4 Sc 2.82
O  0.6476  0.1476  0.7049  6 Sc 2.48-2.65
O  0.8524  0.3524  0.2951  6 Sc 2.48-2.65

E_form (uncorrected) (eV per atom): -0.01
Crystal system: tetragonal

# 8
The following is a PBE calculation of a relaxed structure of LiBe2W, from the Alexandria database.

abc: 4.4183 4.4183 5.1161
angles: 82.46 82.46 32.77
With the nearest neighbours (Å) after each atom.
Element x y z (fractional)
Li  0.7500  0.7500  0.7500  2 Li 2.49, 4 Be 2.78
W  0.2500  0.2500  0.2500  6 Be 2.44-2.52, 2 W 2.49
Be  0.9992  0.9992  0.0646  4 Be 2.27-2.49, 3 W 2.44-2.52
Be  0.5008  0.5008  0.4354  4 Be 2.27-2.49, 3 W 2.44-2.52

Polymorph energy (0 for the lowest one) (meV/atom): 332.0
Calculated formation energy (meV per atom): 507
Crystal system: monoclinic

# 9
The following is a PBE calculation of a relaxed structure of Sm2YRu, from the Alexandria database.

abc: 3.4827 3.4827 9.1954
angles: 90.00 90.00 90.00
With the nearest neighbours (Å) after each atom.
Element x y z (fractional)
Sm  0.0000  0.0000  0.8157  4 Ru 2.99
Sm  0.0000  0.0000  0.1843  4 Ru 2.99
Y  0.5000  0.5000  0.5000  4 Y 3.48, 8 Sm 3.81
Ru  0.5000  0.5000  0.0000  8 Sm 2.99

Polymorph energy (0 for the lowest one) (meV/atom): 164.7
Calculated formation energy (meV per atom): -89
Crystal system: tetragonal

# 10
The following is a PBE calculation of a relaxed structure of InRuPt4, from the Alexandria database.

abc: 5.2780 5.2780 5.2780
angles: 60.00 60.00 60.00
With the nearest neighbours (Å) after each atom.
Element x y z (fractional)
Pt  0.1261  0.6246  0.6246  6 Pt 2.63-2.65
Pt  0.6246  0.1261  0.6246  6 Pt 2.63-2.65
Pt  0.6246  0.6246  0.1261  6 Pt 2.63-2.65
Pt  0.6246  0.6246  0.6246  6 Pt 2.63-2.65
Ru  0.2500  0.2500  0.2500  12 Pt 3.09, 4 In 3.23
In  0.0000  0.0000  0.0000  12 Pt 3.10, 4 Ru 3.23

Calculated formation energy (meV per atom): 197
Crystal system: cubic

# 11
The following is a PBE calculation of a relaxed structure of La2YTe2, from the Alexandria database.

abc: 8.6411 8.6411 4.2057
angles: 90.00 90.00 90.00
With the nearest neighbours (Å) after each atom.
Element x y z (fractional)
La  0.1549  0.6549  0.5000  6 Te 3.19-3.36
La  0.8451  0.3451  0.5000  6 Te 3.19-3.36
La  0.6549  0.8451  0.5000  6 Te 3.19-3.36
La  0.3451  0.1549  0.5000  6 Te 3.19-3.36
Te  0.8509  0.6491  0.0000  6 La 3.19-3.36, 2 Y 3.29
Te  0.3509  0.8509  0.0000  6 La 3.19-3.36, 2 Y 3.29
Te  0.1491  0.3509  0.0000  6 La 3.19-3.36, 2 Y 3.29
Te  0.6491  0.1491  0.0000  6 La 3.19-3.36, 2 Y 3.29
Y  0.5000  0.5000  0.0000  4 Te 3.29
Y  0.0000  0.0000  0.0000  4 Te 3.29

Polymorph energy (0 for the lowest one) (meV/atom): 0.0
E_form (uncorrected) (eV per atom): -1.16
Crystal system: tetragonal

# 12
The following is a PBE calculation of a relaxed structure of Sr2H2Os, from the Alexandria database.

abc: 3.6125 3.6125 7.7396
angles: 76.50 76.50 90.00
With the nearest neighbours (Å) after each atom.
Element x y z (fractional)
Sr  0.6442  0.6442  0.7117  4 H 2.38
Sr  0.3558  0.3558  0.2883  4 H 2.38
H  0.2500  0.7500  0.5000  4 Sr 2.38, 4 H 2.55
H  0.7500  0.2500  0.5000  4 Sr 2.38, 4 H 2.55
Os  0.0000  0.0000  0.0000  8 Sr 3.31, 4 Os 3.61

Crystal system: tetragonal
VASP energy (eV per atom): -3.904